Record 1
A relaxed structure of TlSi2Ir, computed with PBEsol.

Values from the calculation:
Crystal system: monoclinic
DOS at the Fermi energy, states/eV/f.u.: 2.37
ΔE to the lowest computed polymorph, meV per atom: 0
Calculated total energy, eV/atom: -6.05

Unit cell a=6.8835 b=3.9750 c=6.3764 alpha=90.00 beta=109.58 gamma=90.00
Space group C2/m (No. 12)
Unique sites:
Tl (0.0000, 0.0000, 0.0000)
Si (0.2041, 0.0000, 0.6196)
Ir (0.0000, 0.5000, 0.5000)


Record 2
A relaxed structure of TlSi2Ir, computed with PBEsol.

Values from the calculation:
Crystal system: monoclinic
DOS at the Fermi energy, states/eV/f.u.: 2.11
ΔE to the lowest computed polymorph, meV per atom: 174
Calculated total energy, eV/atom: -5.88

Unit cell a=4.2551 b=4.0949 c=4.6885 alpha=90.00 beta=105.74 gamma=90.00
Space group P2/m (No. 10)
Unique sites:
Tl (0.0000, 0.0000, 0.0000)
Si (0.4278, 0.5000, 0.7385)
Ir (0.5000, 0.0000, 0.5000)


Record 3
A relaxed structure of Tl2SiIr, computed with PBEsol.

Values from the calculation:
Crystal system: orthorhombic
DOS at the Fermi energy, states/eV/f.u.: 1.89
Calculated total energy, eV/atom: -4.97

Unit cell a=3.0077 b=4.6243 c=12.2813 alpha=90.00 beta=90.00 gamma=90.00
Space group Imm2 (No. 44)
Unique sites:
Tl (0.0000, 0.0000, 0.0000)
Tl (0.0000, 0.5000, 0.1890)
Si (0.0000, 0.0000, 0.3882)
Ir (0.0000, 0.5000, 0.7407)


Record 4
A relaxed structure of TlSi2Ir, computed with PBEsol.

Values from the calculation:
Crystal system: tetragonal
DOS at the Fermi energy, states/eV/f.u.: 2.19
ΔE to the lowest computed polymorph, meV per atom: 671
Calculated total energy, eV/atom: -5.38

Unit cell a=4.2577 b=4.2577 c=3.6716 alpha=90.00 beta=90.00 gamma=90.00
Space group P4/mmm (No. 123)
Unique sites:
Tl (0.0000, 0.0000, 0.0000)
Si (0.0000, 0.5000, 0.5000)
Ir (0.5000, 0.5000, 0.0000)


Record 5
A relaxed structure of USi3Ir, computed with PBEsol.

Values from the calculation:
Crystal system: tetragonal
DOS at the Fermi energy, states/eV/f.u.: 5.99
Calculated total energy, eV/atom: -8.39

Unit cell a=4.1184 b=4.1184 c=9.6840 alpha=90.00 beta=90.00 gamma=90.00
Space group I4mm (No. 107)
Unique sites:
U (0.0000, 0.0000, 0.0000)
Si (0.0000, 0.0000, 0.5838)
Si (0.0000, 0.5000, 0.2303)
Ir (0.0000, 0.0000, 0.3446)


Record 6
A relaxed structure of SiIr2W, computed with PBEsol.

Values from the calculation:
Crystal system: tetragonal
DOS at the Fermi energy, states/eV/f.u.: 2.32
Calculated total energy, eV/atom: -9.32

Unit cell a=5.4076 b=5.4076 c=11.0762 alpha=90.00 beta=90.00 gamma=90.00
Space group I-42d (No. 122)
Unique sites:
Si (0.0000, 0.0000, 0.0000)
Ir (0.2307, 0.2500, 0.1250)
W (0.0000, 0.0000, 0.5000)


Record 7
A relaxed structure of SiIrW2, computed with PBEsol.

Values from the calculation:
Crystal system: tetragonal
DOS at the Fermi energy, states/eV/f.u.: 0.80
Calculated total energy, eV/atom: -10.96

Unit cell a=3.7170 b=3.7170 c=8.3145 alpha=90.00 beta=90.00 gamma=90.00
Space group I4/mmm (No. 139)
Unique sites:
Si (0.0000, 0.0000, 0.0000)
Ir (0.0000, 0.0000, 0.5000)
W (0.0000, 0.5000, 0.2500)


Record 8
A relaxed structure of SiIrW2, computed with PBEsol.

Values from the calculation:
Crystal system: tetragonal
DOS at the Fermi energy, states/eV/f.u.: 2.42
Calculated total energy, eV/atom: -10.83

Unit cell a=3.1317 b=3.1317 c=5.8910 alpha=90.00 beta=90.00 gamma=90.00
Space group P4mm (No. 99)
Unique sites:
Si (0.0000, 0.0000, 0.0000)
Ir (0.5000, 0.5000, 0.7650)
W (0.0000, 0.0000, 0.4883)
W (0.5000, 0.5000, 0.2368)


Record 9
A relaxed structure of SiIrW, computed with PBEsol.

Values from the calculation:
Crystal system: cubic
DOS at the Fermi energy, states/eV/f.u.: 2.22
ΔE to the lowest computed polymorph, meV per atom: 187
Calculated total energy, eV/atom: -9.94

Unit cell a=5.8221 b=5.8221 c=5.8221 alpha=90.00 beta=90.00 gamma=90.00
Space group F-43m (No. 216)
Unique sites:
Si (0.0000, 0.0000, 0.0000)
Ir (0.2500, 0.2500, 0.2500)
W (0.0000, 0.0000, 0.5000)


Record 10
A relaxed structure of SiIrW, computed with PBEsol.

Values from the calculation:
Crystal system: hexagonal
DOS at the Fermi energy, states/eV/f.u.: 2.20
ΔE to the lowest computed polymorph, meV per atom: 0
Calculated total energy, eV/atom: -10.12

Unit cell a=4.1895 b=4.1895 c=2.7553 alpha=90.00 beta=90.00 gamma=120.00
Space group P-6m2 (No. 187)
Unique sites:
Si (0.0000, 0.0000, 0.0000)
Ir (0.3333, 0.6667, 0.0000)
W (0.6667, 0.3333, 0.5000)


Record 11
A relaxed structure of SiIrW2, computed with PBEsol.

Values from the calculation:
Crystal system: tetragonal
DOS at the Fermi energy, states/eV/f.u.: 3.08
Calculated total energy, eV/atom: -10.77

Unit cell a=3.8204 b=3.8204 c=7.9631 alpha=90.00 beta=90.00 gamma=90.00
Space group I-4m2 (No. 119)
Unique sites:
Si (0.0000, 0.0000, 0.0000)
Ir (0.0000, 0.5000, 0.7500)
W (0.0000, 0.0000, 0.5000)
W (0.0000, 0.5000, 0.2500)


Record 12
A relaxed structure of SiIr2W, computed with PBEsol.

Values from the calculation:
Crystal system: tetragonal
DOS at the Fermi energy, states/eV/f.u.: 3.63
Calculated total energy, eV/atom: -9.99

Unit cell a=3.8535 b=3.8535 c=7.5644 alpha=90.00 beta=90.00 gamma=90.00
Space group I4/mmm (No. 139)
Unique sites:
Si (0.0000, 0.0000, 0.0000)
Ir (0.0000, 0.5000, 0.2500)
W (0.0000, 0.0000, 0.5000)